# 1
Computed, not measured: a relaxed TcRhN2 crystal at the PBE level of DFT.

Cell: 5.3908 5.3908 5.3908 Å, 90.00 90.00 90.00°
Space group Fm-3m (No. 225)
Unique sites:
Tc 0.0000 0.0000 0.0000 x4
Rh 0.0000 0.0000 0.5000 x4
N 0.2500 0.2500 0.2500 x8

Properties
Volume, Å³ per cell: 156.66
ΔE_f (raw), eV/atom: 1.016
Fermi-level density of states, states/eV/cell: 14.2
Total magnetization, μB per formula unit: 0.00

***

# 2
Computed, not measured: a relaxed Ba2NaRu crystal at the PBE level of DFT.

Cell: 7.9762 7.9762 7.9762 Å, 90.00 90.00 90.00°
Space group Fm-3m (No. 225)
Unique sites:
Ba 0.2500 0.2500 0.2500 x8
Na 0.0000 0.0000 0.0000 x4
Ru 0.0000 0.0000 0.5000 x4

Properties
Volume, Å³ per cell: 507.44
Fermi-level density of states, states/eV/cell: 21.3
Formation enthalpy at 0 K, meV per atom: 458.6
Total magnetization, μB per formula unit: 0.00

***

- What is the formula in the first record?
  TcRhN2

***

- Which of these has the lowest volume?
  TcRhN2

***

- Look up the total magnetization of the second one.
  0.00 μB per formula unit